The following is a DFT calculation (PBE-GGA) of Tb12ErTm6 after structural relaxation.

The value obtained for the density of states at the Fermi level is 1.556 states/eV/atom. Its crystal system is trigonal. Its total magnetization is 0.001 μB/cell. Its energy of formation is 251.6 meV per atom. Its energy is -4.3250 eV per atom.

Unit cell a=14.4919 b=14.4919 c=10.2884 alpha=90.00 beta=90.00 gamma=120.00
Space group R-3 (No. 148, hexagonal axes)
Asymmetric unit:
Tb 0.0560 0.2538 0.0810 (multiplicity 18)
Tb 0.0652 0.2268 0.4180 (multiplicity 18)
Er 0.0000 0.0000 0.0000 (multiplicity 3)
Tm 0.0520 0.2153 0.7604 (multiplicity 18)